(1)
First-principles (PBE) data for an optimized crystal structure of K3SeF6, as listed in Alexandria.

The formation energy (no corrections) is -2.16 eV per atom. As for the crystal system: orthorhombic. The calculation puts the uncorrected energy at -158.56 eV per cell. For the total magnetic moment, the calculation gives 4.0 Bohr magnetons per cell.

The structure belongs to space group Cmc2_1 (No. 36); the cell edges are 12.000, 9.486 and 6.811 Å and the angles 90.00°, 90.00° and 90.00°. The distinct sites, in fractional coordinates, are K at (0.000, 0.012, 0.000), K at (0.224, 0.351, 0.069), Se at (0.000, 0.370, 0.700), F at (0.000, 0.294, 0.450), F at (0.000, 0.407, 0.987), F at (0.099, 0.219, 0.771) and F at (0.179, 0.084, 0.229).

(2)
First-principles (PBE) data for an optimized crystal structure of KSeF2, as listed in Alexandria.

The formation energy (no corrections) is -1.70 eV per atom. As for the crystal system: trigonal. The offset from the most stable computed form comes out at 0.00 eV per formula unit. The calculation puts the uncorrected energy at -45.33 eV per cell. For the total magnetic moment, the calculation gives 0.0 Bohr magnetons per cell.

The structure belongs to space group R-3m (No. 166, hexagonal axes); the cell edges are 3.7857, 3.7857 and 20.6573 Å and the angles 90.00°, 90.00° and 120.00°. The distinct sites, in fractional coordinates, are K at (0.0000, 0.0000, 0.0000), Se at (0.0000, 0.0000, 0.5000) and F at (0.0000, 0.0000, 0.4023).

(3)
First-principles (PBE) data for an optimized crystal structure of K2SeF, as listed in Alexandria.

The formation energy (no corrections) is -1.65 eV per atom. As for the crystal system: tetragonal. The offset from the most stable computed form comes out at 0.00 eV per formula unit. The calculation puts the uncorrected energy at -14.16 eV per cell. For the total magnetic moment, the calculation gives 0.0 Bohr magnetons per cell.

The structure belongs to space group P4/mmm (No. 123); the cell edges are 3.370, 3.370 and 7.963 Å and the angles 90.00°, 90.00° and 90.00°. The distinct sites, in fractional coordinates, are K at (0.000, 0.000, 0.201), Se at (0.500, 0.500, 0.500) and F at (0.500, 0.500, 0.000).